V2HPdAu | Alexandria | PBE | optimized geometry; magnetization = 0.00 μB/f.u.; energy above the lowest structure with this stoichiometry = 69.8 meV/atom; D(E_F) = 5.51 states/eV/f.u.; symmetry = P4/mmm
1.0
3.848 0.000 0.000
0.000 3.848 0.000
0.000 0.000 4.183
Au H Pd V
1 1 1 2
Direct
0.000 0.000 0.500 Au
0.000 0.000 0.000 H
0.500 0.500 0.500 Pd
0.000 0.500 0.000 V
0.500 0.000 0.000 V